No. 1
A plane-wave DFT calculation with meta-GGA SCAN was carried out for ZrCd2Rh at its PBEsol-relaxed geometry.

SG: I4/mmm
Formation enthalpy at 0 K, eV per atom: -0.26

Lattice parameters (Å, degrees): 5.100 5.100 5.100 131.99 131.99 70.25
Fractional coordinates of all 4 atoms:
1 Zr 0.000 0.000 0.000
2 Cd 0.250 0.750 0.500
3 Cd 0.750 0.250 0.500
4 Rh 0.500 0.500 0.000

No. 2
A plane-wave DFT calculation with meta-GGA SCAN was carried out for ZrCd2Rh at its PBEsol-relaxed geometry.

SG: P4mm
Formation enthalpy at 0 K, eV per atom: -0.41

Lattice parameters (Å, degrees): 3.345 3.345 6.709 90.00 90.00 90.00
Fractional coordinates of all 4 atoms:
1 Zr 0.000 0.000 0.000
2 Cd 0.000 0.000 0.553
3 Cd 0.500 0.500 0.291
4 Rh 0.500 0.500 0.815

No. 3
A plane-wave DFT calculation with meta-GGA SCAN was carried out for CdRu2 at its PBEsol-relaxed geometry.

SG: P-3m1
Formation enthalpy at 0 K, eV per atom: 0.25

Lattice parameters (Å, degrees): 2.755 2.755 6.871 90.00 90.00 120.00
Fractional coordinates of all 3 atoms:
1 Cd 0.000 0.000 0.000
2 Ru 0.333 0.667 0.645
3 Ru 0.667 0.333 0.355

No. 4
A plane-wave DFT calculation with meta-GGA SCAN was carried out for CdRu3 at its PBEsol-relaxed geometry.

SG: Fm-3m
Formation enthalpy at 0 K, eV per atom: 0.54

Lattice parameters (Å, degrees): 4.372 4.372 4.372 60.00 60.00 60.00
Fractional coordinates of all 4 atoms:
1 Cd 0.000 0.000 0.000
2 Ru 0.250 0.250 0.250
3 Ru 0.500 0.500 0.500
4 Ru 0.750 0.750 0.750

No. 5
A plane-wave DFT calculation with meta-GGA SCAN was carried out for CdRu3 at its PBEsol-relaxed geometry.

SG: Cmmm
Formation enthalpy at 0 K, eV per atom: 0.50

Lattice parameters (Å, degrees): 4.807 4.807 2.710 90.00 90.00 111.95
Fractional coordinates of all 4 atoms:
1 Cd 0.000 0.000 0.000
2 Ru 0.000 0.500 0.500
3 Ru 0.500 0.000 0.500
4 Ru 0.500 0.500 0.000

No. 6
A plane-wave DFT calculation with meta-GGA SCAN was carried out for CdRuS2 at its PBEsol-relaxed geometry.

E_form (uncorrected), meV/atom: 357
SG: R-3m

Lattice parameters (Å, degrees): 8.079 8.079 8.079 23.75 23.75 23.75
Fractional coordinates of all 4 atoms:
1 Cd 0.000 0.000 0.000
2 Ru 0.500 0.500 0.500
3 S 0.408 0.408 0.408
4 S 0.592 0.592 0.592

No. 7
A plane-wave DFT calculation with meta-GGA SCAN was carried out for CdSb2Ru at its PBEsol-relaxed geometry.

E_form (uncorrected), meV/atom: 90
SG: P4mm

Lattice parameters (Å, degrees): 3.164 3.164 8.348 90.00 90.00 90.00
Fractional coordinates of all 4 atoms:
1 Cd 0.000 0.000 0.000
2 Sb 0.000 0.000 0.389
3 Sb 0.500 0.500 0.718
4 Ru 0.500 0.500 0.216

No. 8
A plane-wave DFT calculation with meta-GGA SCAN was carried out for Cd2SbRu at its PBEsol-relaxed geometry.

E_form (uncorrected), meV/atom: 428
SG: R-3m

Lattice parameters (Å, degrees): 10.013 10.013 10.013 17.55 17.55 17.55
Fractional coordinates of all 4 atoms:
1 Cd 0.239 0.239 0.239
2 Cd 0.761 0.761 0.761
3 Sb 0.000 0.000 0.000
4 Ru 0.500 0.500 0.500

No. 9
A plane-wave DFT calculation with meta-GGA SCAN was carried out for Cd2SbRu at its PBEsol-relaxed geometry.

E_form (uncorrected), meV/atom: 300
SG: P2/m

Lattice parameters (Å, degrees): 3.105 5.326 4.632 90.00 93.44 90.00
Fractional coordinates of all 4 atoms:
1 Cd 0.249 0.000 0.257
2 Cd 0.751 0.000 0.743
3 Sb 0.000 0.500 0.000
4 Ru 0.500 0.500 0.500

No. 10
A plane-wave DFT calculation with meta-GGA SCAN was carried out for Cd2SbRu at its PBEsol-relaxed geometry.

E_form (uncorrected), meV/atom: 312
SG: C2/m

Lattice parameters (Å, degrees): 5.900 5.900 3.183 104.11 104.11 125.23
Fractional coordinates of all 4 atoms:
1 Cd 0.000 0.500 0.000
2 Cd 0.500 0.000 0.000
3 Sb 0.000 0.000 0.000
4 Ru 0.500 0.500 0.000

No. 11
A plane-wave DFT calculation with meta-GGA SCAN was carried out for Cd2SbRu at its PBEsol-relaxed geometry.

E_form (uncorrected), meV/atom: 141
SG: R3m

Lattice parameters (Å, degrees): 9.427 9.427 9.427 19.29 19.29 19.29
Fractional coordinates of all 4 atoms:
1 Cd 0.000 0.000 0.000
2 Cd 0.244 0.244 0.244
3 Sb 0.766 0.766 0.766
4 Ru 0.500 0.500 0.500

No. 12
A plane-wave DFT calculation with meta-GGA SCAN was carried out for CdSb2Ru at its PBEsol-relaxed geometry.

E_form (uncorrected), meV/atom: 75
SG: C2/m

Lattice parameters (Å, degrees): 3.479 3.479 8.520 99.40 99.40 57.76
Fractional coordinates of all 4 atoms:
1 Cd 0.000 0.000 0.000
2 Sb 0.229 0.229 0.712
3 Sb 0.771 0.771 0.288
4 Ru 0.500 0.500 0.500

No. 13
A plane-wave DFT calculation with meta-GGA SCAN was carried out for CdSbTe2Ru at its PBEsol-relaxed geometry.

E_form (uncorrected), meV/atom: 1386
SG: P4/mmm
Offset from the most stable computed form, eV per atom: 0.962

Lattice parameters (Å, degrees): 5.408 5.408 5.289 90.00 90.00 90.00
Fractional coordinates of all 5 atoms:
1 Cd 0.000 0.000 0.000
2 Sb 0.000 0.000 0.500
3 Te 0.000 0.500 0.000
4 Te 0.500 0.000 0.000
5 Ru 0.500 0.500 0.500

No. 14
A plane-wave DFT calculation with meta-GGA SCAN was carried out for CdSbTe2Ru at its PBEsol-relaxed geometry.

E_form (uncorrected), meV/atom: 424
SG: P4/mmm
Offset from the most stable computed form, eV per atom: 0.000

Lattice parameters (Å, degrees): 5.284 5.284 4.911 90.00 90.00 90.00
Fractional coordinates of all 5 atoms:
1 Cd 0.000 0.000 0.000
2 Sb 0.500 0.500 0.000
3 Te 0.000 0.500 0.500
4 Te 0.500 0.000 0.500
5 Ru 0.500 0.500 0.500

No. 15
A plane-wave DFT calculation with meta-GGA SCAN was carried out for ScCd3Ru at its PBEsol-relaxed geometry.

SG: Pm-3m
Formation enthalpy at 0 K, eV per atom: 0.58

Lattice parameters (Å, degrees): 4.994 4.994 4.994 90.00 90.00 90.00
Fractional coordinates of all 5 atoms:
1 Sc 0.000 0.000 0.000
2 Cd 0.000 0.500 0.500
3 Cd 0.500 0.000 0.500
4 Cd 0.500 0.500 0.000
5 Ru 0.500 0.500 0.500

No. 16
A plane-wave DFT calculation with meta-GGA SCAN was carried out for ScCdRu at its PBEsol-relaxed geometry.

SG: F-43m
Formation enthalpy at 0 K, eV per atom: 0.08

Lattice parameters (Å, degrees): 4.421 4.421 4.421 60.00 60.00 60.00
Fractional coordinates of all 3 atoms:
1 Sc 0.000 0.000 0.000
2 Cd 0.500 0.500 0.500
3 Ru 0.250 0.250 0.250

No. 17
A plane-wave DFT calculation with meta-GGA SCAN was carried out for ScCdRu3 at its PBEsol-relaxed geometry.

SG: Pm-3m
Formation enthalpy at 0 K, eV per atom: 1.81

Lattice parameters (Å, degrees): 4.739 4.739 4.739 90.00 90.00 90.00
Fractional coordinates of all 5 atoms:
1 Sc 0.000 0.000 0.000
2 Cd 0.500 0.500 0.500
3 Ru 0.000 0.500 0.500
4 Ru 0.500 0.000 0.500
5 Ru 0.500 0.500 0.000

No. 18
A plane-wave DFT calculation with meta-GGA SCAN was carried out for Cd2RuSe at its PBEsol-relaxed geometry.

E_form (uncorrected), meV/atom: 484
SG: F-43m

Lattice parameters (Å, degrees): 4.644 4.644 4.644 60.00 60.00 60.00
Fractional coordinates of all 4 atoms:
1 Cd 0.000 0.000 0.000
2 Cd 0.250 0.250 0.250
3 Ru 0.500 0.500 0.500
4 Se 0.750 0.750 0.750

No. 19
A plane-wave DFT calculation with meta-GGA SCAN was carried out for CdRuSe at its PBEsol-relaxed geometry.

E_form (uncorrected), meV/atom: 620
SG: F-43m
Offset from the most stable computed form, eV per atom: 0.336

Lattice parameters (Å, degrees): 4.316 4.316 4.316 60.00 60.00 60.00
Fractional coordinates of all 3 atoms:
1 Cd 0.000 0.000 0.000
2 Ru 0.500 0.500 0.500
3 Se 0.250 0.250 0.250

No. 20
A plane-wave DFT calculation with meta-GGA SCAN was carried out for Cd2RuSe at its PBEsol-relaxed geometry.

E_form (uncorrected), meV/atom: -23
SG: Imm2

Lattice parameters (Å, degrees): 6.341 6.341 6.341 152.30 138.00 51.06
Fractional coordinates of all 4 atoms:
1 Cd 0.000 0.000 0.000
2 Cd 0.672 0.172 0.500
3 Ru 0.208 0.708 0.500
4 Se 0.370 0.370 0.000

No. 21
A plane-wave DFT calculation with meta-GGA SCAN was carried out for Cd2RuSe at its PBEsol-relaxed geometry.

E_form (uncorrected), meV/atom: 9
SG: Amm2

Lattice parameters (Å, degrees): 3.106 6.328 6.328 39.60 90.00 90.00
Fractional coordinates of all 4 atoms:
1 Cd 0.000 0.000 0.000
2 Cd 0.500 0.335 0.335
3 Ru 0.000 0.774 0.774
4 Se 0.500 0.621 0.621

No. 22
A plane-wave DFT calculation with meta-GGA SCAN was carried out for Cd2RuSe at its PBEsol-relaxed geometry.

E_form (uncorrected), meV/atom: 367
SG: Immm

Lattice parameters (Å, degrees): 5.370 5.370 5.370 142.21 131.89 62.74
Fractional coordinates of all 4 atoms:
1 Cd 0.249 0.249 0.000
2 Cd 0.751 0.751 0.000
3 Ru 0.000 0.500 0.500
4 Se 0.500 0.000 0.500

No. 23
A plane-wave DFT calculation with meta-GGA SCAN was carried out for Cd2RuSe at its PBEsol-relaxed geometry.

E_form (uncorrected), meV/atom: 380
SG: R-3m

Lattice parameters (Å, degrees): 10.249 10.249 10.249 16.24 16.24 16.24
Fractional coordinates of all 4 atoms:
1 Cd 0.241 0.241 0.241
2 Cd 0.759 0.759 0.759
3 Ru 0.500 0.500 0.500
4 Se 0.000 0.000 0.000

No. 24
A plane-wave DFT calculation with meta-GGA SCAN was carried out for CdRuSe at its PBEsol-relaxed geometry.

E_form (uncorrected), meV/atom: 284
SG: P-6m2
Offset from the most stable computed form, eV per atom: 0.000

Lattice parameters (Å, degrees): 4.205 4.205 3.436 90.00 90.00 120.00
Fractional coordinates of all 3 atoms:
1 Cd 0.000 0.000 0.000
2 Ru 0.667 0.333 0.500
3 Se 0.333 0.667 0.500

No. 25
A plane-wave DFT calculation with meta-GGA SCAN was carried out for CdRuSe2 at its PBEsol-relaxed geometry.

E_form (uncorrected), meV/atom: 15
SG: P4mm

Lattice parameters (Å, degrees): 3.557 3.557 6.448 90.00 90.00 90.00
Fractional coordinates of all 4 atoms:
1 Cd 0.000 0.000 0.000
2 Ru 0.500 0.500 0.471
3 Se 0.000 0.000 0.406
4 Se 0.500 0.500 0.837

No. 26
A plane-wave DFT calculation with meta-GGA SCAN was carried out for CdRu3Se at its PBEsol-relaxed geometry.

E_form (uncorrected), meV/atom: 836
SG: Pm-3m

Lattice parameters (Å, degrees): 4.465 4.465 4.465 90.00 90.00 90.00
Fractional coordinates of all 5 atoms:
1 Cd 0.000 0.000 0.000
2 Ru 0.000 0.500 0.500
3 Ru 0.500 0.000 0.500
4 Ru 0.500 0.500 0.000
5 Se 0.500 0.500 0.500

No. 27
A plane-wave DFT calculation with meta-GGA SCAN was carried out for CdSi2Ru at its PBEsol-relaxed geometry.

E_form (uncorrected), meV/atom: 83
SG: Amm2

Lattice parameters (Å, degrees): 4.254 4.904 4.904 37.27 90.00 90.00
Fractional coordinates of all 4 atoms:
1 Cd 0.000 0.000 0.000
2 Si 0.000 0.733 0.733
3 Si 0.500 0.320 0.320
4 Ru 0.500 0.614 0.614

No. 28
A plane-wave DFT calculation with meta-GGA SCAN was carried out for CdSi2Ru at its PBEsol-relaxed geometry.

E_form (uncorrected), meV/atom: 280
SG: I-42d

Lattice parameters (Å, degrees): 8.585 8.585 8.585 152.25 152.25 39.65
Fractional coordinates of all 8 atoms:
1 Cd 0.000 0.000 0.000
2 Cd 0.750 0.250 0.500
3 Si 0.202 0.625 0.077
4 Si 0.375 0.452 0.577
5 Si 0.548 0.125 0.923
6 Si 0.875 0.798 0.423
7 Ru 0.250 0.750 0.500
8 Ru 0.500 0.500 0.000

No. 29
A plane-wave DFT calculation with meta-GGA SCAN was carried out for CdSiRu4 at its PBEsol-relaxed geometry.

E_form (uncorrected), meV/atom: 643
SG: F-43m

Lattice parameters (Å, degrees): 5.052 5.052 5.052 60.00 60.00 60.00
Fractional coordinates of all 6 atoms:
1 Cd 0.000 0.000 0.000
2 Si 0.250 0.250 0.250
3 Ru 0.126 0.625 0.625
4 Ru 0.625 0.126 0.625
5 Ru 0.625 0.625 0.126
6 Ru 0.625 0.625 0.625

No. 30
A plane-wave DFT calculation with meta-GGA SCAN was carried out for CdSi4Ru at its PBEsol-relaxed geometry.

E_form (uncorrected), meV/atom: 664
SG: F-43m

Lattice parameters (Å, degrees): 5.018 5.018 5.018 60.00 60.00 60.00
Fractional coordinates of all 6 atoms:
1 Cd 0.000 0.000 0.000
2 Si 0.376 0.376 0.376
3 Si 0.376 0.376 0.872
4 Si 0.376 0.872 0.376
5 Si 0.872 0.376 0.376
6 Ru 0.750 0.750 0.750

Number 1: E -31.581 eV per atom, N(E_F) 2.0 states/eV per cell. Number 2: E -31.730 eV per atom, N(E_F) 2.0 states/eV per cell. Number 3: E -33.108 eV per atom, N(E_F) 2.9 states/eV per cell. Number 4: E -33.182 eV per atom, N(E_F) 1.5 states/eV per cell. Number 5: E -33.222 eV per atom, N(E_F) 3.5 states/eV per cell. Number 6: E -20.767 eV per atom, N(E_F) 3.2 states/eV per cell. Number 7: E -34.851 eV per atom, N(E_F) 1.5 states/eV per cell. Number 8: E -32.801 eV per atom, N(E_F) 2.9 states/eV per cell. Number 9: E -32.929 eV per atom, N(E_F) 2.7 states/eV per cell. Number 10: E -32.917 eV per atom, N(E_F) 2.7 states/eV per cell. Number 11: E -33.088 eV per atom, N(E_F) 1.8 states/eV per cell. Number 12: E -34.865 eV per atom, N(E_F) 2.3 states/eV per cell. Number 13: E -34.014 eV per atom, N(E_F) 4.6 states/eV per cell. Number 14: E -34.976 eV per atom, N(E_F) 5.7 states/eV per cell. Number 15: E -27.484 eV per atom, N(E_F) 3.9 states/eV per cell. Number 16: E -26.412 eV per atom, N(E_F) 2.7 states/eV per cell. Number 17: E -28.017 eV per atom, N(E_F) 5.2 states/eV per cell. Number 18: E -28.450 eV per atom, N(E_F) 4.0 states/eV per cell. Number 19: E -27.820 eV per atom, N(E_F) 1.4 states/eV per cell. Number 20: E -28.956 eV per atom, N(E_F) 3.0 states/eV per cell. Number 21: E -28.924 eV per atom, N(E_F) 1.6 states/eV per cell. Number 22: E -28.566 eV per atom, N(E_F) 3.8 states/eV per cell. Number 23: E -28.553 eV per atom, N(E_F) 1.9 states/eV per cell. Number 24: E -28.156 eV per atom, N(E_F) 3.5 states/eV per cell. Number 25: E -26.335 eV per atom, N(E_F) 2.3 states/eV per cell. Number 26: E -30.158 eV per atom, N(E_F) 4.3 states/eV per cell. Number 27: E -21.235 eV per atom, N(E_F) 1.7 states/eV per cell. Number 28: E -21.038 eV per atom, N(E_F) 3.2 states/eV per cell. Number 29: E -29.313 eV per atom, N(E_F) 5.6 states/eV per cell. Number 30: E -16.886 eV per atom, N(E_F) 2.7 states/eV per cell.